DFT (PBE) results for a geometry-optimized AcHo2Tm structure.

The structure belongs to space group Fm-3m (No. 225); the cell edges are 8.182, 8.182 and 8.182 Å and the angles 90.00°, 90.00° and 90.00°. The inequivalent atoms are Ac at (0.000, 0.000, 0.000), Ho at (0.250, 0.250, 0.250) and Tm at (0.000, 0.000, 0.500).

The calculated total energy is -4.290 eV/atom. Its distance to the lowest polymorph of the same formula is 0.0957 eV/atom. For the formation energy from the elements, the calculation gives 0.144 eV/atom.